[1]
Rb2Pa3Se8 | GGA-PBE | optimized geometry

Unit cell a=9.6053 b=4.3297 c=11.8457 alpha=90.00 beta=113.79 gamma=90.00
Atoms (fractional coordinates):
Rb: 0.0267 0.0000 0.2683
Rb: 0.9733 0.0000 0.7317
Pa: 0.4255 0.5000 0.6547
Pa: 0.5000 0.0000 0.0000
Pa: 0.5745 0.5000 0.3453
Se: 0.2255 0.0000 0.5935
Se: 0.3111 0.5000 0.8660
Se: 0.3172 0.5000 0.3945
Se: 0.3829 0.0000 0.1795
Se: 0.6171 0.0000 0.8205
Se: 0.6828 0.5000 0.6055
Se: 0.6889 0.5000 0.1340
Se: 0.7745 0.0000 0.4065

Output
Energy relative to the lowest polymorph listed for this composition (eV per atom): 0.037
Formation energy from raw total energies (eV per atom): -1.3486
Energy (eV per cell): -75.831
Magnetic moment (μB/atom): 0.09

[2]
Er4Si2S3O7 | GGA-PBE | optimized geometry

Unit cell a=10.6779 b=10.6779 c=10.6779 alpha=113.79 beta=113.79 gamma=101.14
Atoms (fractional coordinates):
Er: 0.0474 0.2974 0.0948
Er: 0.0474 0.9526 0.7500
Er: 0.1734 0.6588 0.5145
Er: 0.2974 0.0474 0.5948
Er: 0.2974 0.7026 0.2500
Er: 0.3412 0.3557 0.5145
Er: 0.3412 0.8266 0.9855
Er: 0.3557 0.3412 0.0145
Er: 0.6443 0.6588 0.9855
Er: 0.6588 0.1734 0.0145
Er: 0.6588 0.6443 0.4855
Er: 0.7026 0.2974 0.7500
Er: 0.7026 0.9526 0.4052
Er: 0.8266 0.3412 0.4855
Er: 0.9526 0.0474 0.2500
Er: 0.9526 0.7026 0.9052
Si: 0.0955 0.2204 0.6248
Si: 0.0955 0.4707 0.8752
Si: 0.2204 0.0955 0.1248
Si: 0.4707 0.0955 0.3752
Si: 0.5293 0.9045 0.6248
Si: 0.7796 0.9045 0.8752
Si: 0.9045 0.5293 0.1248
Si: 0.9045 0.7796 0.3752
S: 0.0000 0.3543 0.3543
S: 0.0000 0.6457 0.6457
S: 0.1250 0.8750 0.2500
S: 0.3543 0.0000 0.8543
S: 0.3543 0.5000 0.3543
S: 0.3750 0.6250 0.7500
S: 0.5000 0.3543 0.8543
S: 0.5000 0.6457 0.1457
S: 0.6250 0.3750 0.2500
S: 0.6457 0.0000 0.1457
S: 0.6457 0.5000 0.6457
S: 0.8750 0.1250 0.7500
O: 0.0832 0.5674 0.2330
O: 0.0832 0.8503 0.5158
O: 0.1497 0.1655 0.2330
O: 0.1499 0.3999 0.7500
O: 0.1497 0.9168 0.9842
O: 0.1655 0.1497 0.7330
O: 0.1655 0.4326 0.0158
O: 0.1740 0.1902 0.5163
O: 0.1740 0.6577 0.9837
O: 0.1902 0.1740 0.0163
O: 0.3423 0.8260 0.5163
O: 0.3999 0.1499 0.2500
O: 0.4326 0.1655 0.5158
O: 0.4326 0.9168 0.2670
O: 0.5674 0.0832 0.7330
O: 0.5674 0.8345 0.4842
O: 0.6001 0.8501 0.7500
O: 0.6577 0.1740 0.4837
O: 0.8098 0.8260 0.9837
O: 0.8260 0.3423 0.0163
O: 0.8260 0.8098 0.4837
O: 0.8345 0.5674 0.9842
O: 0.8345 0.8503 0.2670
O: 0.8503 0.0832 0.0158
O: 0.8501 0.6001 0.2500
O: 0.8503 0.8345 0.7670
O: 0.9168 0.1497 0.4842
O: 0.9168 0.4326 0.7670

Output
Formation energy from raw total energies (eV per atom): -2.8598
Energy (eV per cell): -487.777
Magnetic moment (μB/atom): 0.00